No. 1
The following is a PBE calculation of an optimized crystal structure of Li3PtO4, from the Open Quantum Materials Database.

## Properties
- size of the total moment (μB per formula unit) = 1.0
- excess energy over the best structure of this formula in the dataset (meV per atom) = 4
- space-group type = C2/m (12)

a = 5.0367 Å, b = 5.0367 Å, c = 5.0387 Å
α = 100.97°, β = 100.97°, γ = 35.06°
Atoms (fractional coordinates):
O (0.8819, 0.8819, 0.1083)
Li (0.0000, 0.0000, 0.5000)
Li (0.2504, 0.2504, 0.2763)
O (0.3794, 0.3794, 0.6347)
Pt (0.5000, 0.5000, 0.0000)
O (0.6206, 0.6206, 0.3653)
O (0.1181, 0.1181, 0.8917)
Li (0.7496, 0.7496, 0.7237)

No. 2
The following is a PBE calculation of an optimized crystal structure of CsTbTeO, from the Open Quantum Materials Database.

## Properties
- size of the total moment (μB per formula unit) = 0.0
- excess energy over the best structure of this formula in the dataset (meV per atom) = 164
- space-group type = Pmc2_1 (26)

a = 4.8868 Å, b = 7.2211 Å, c = 9.0032 Å
α = 90.00°, β = 90.00°, γ = 90.00°
Atoms (fractional coordinates):
Tb (0.5000, 0.0283, 0.1019)
O (0.5000, 0.2337, 0.9333)
O (0.5000, 0.7337, 0.0667)
Cs (0.0000, 0.1133, 0.7099)
Te (0.0000, 0.1157, 0.2847)
Cs (0.0000, 0.6133, 0.2901)
Te (0.0000, 0.6157, 0.7153)
Tb (0.5000, 0.5283, 0.8981)

No. 3
The following is a PBE calculation of an optimized crystal structure of Ta3CoC2, from the Open Quantum Materials Database.

## Properties
- size of the total moment (μB per formula unit) = 0.3
- DFT total energy (eV per atom) = -10.581
- space-group type = P6_3/mmc (194)

a = 3.1416 Å, b = 3.1416 Å, c = 17.7142 Å
α = 90.00°, β = 90.00°, γ = 120.00°
Atoms (fractional coordinates):
C (0.3333, 0.6667, 0.0751)
Ta (0.6667, 0.3333, 0.3563)
C (0.6667, 0.3333, 0.9249)
Ta (0.0000, 0.0000, 0.5000)
Co (0.0000, 0.0000, 0.7500)
Co (0.0000, 0.0000, 0.2500)
C (0.3333, 0.6667, 0.4249)
Ta (0.0000, 0.0000, 0.0000)
C (0.6667, 0.3333, 0.5751)
Ta (0.3333, 0.6667, 0.6437)
Ta (0.3333, 0.6667, 0.8563)
Ta (0.6667, 0.3333, 0.1437)

No. 4
The following is a PBE calculation of an optimized crystal structure of SrNdTe2AuS, from the Open Quantum Materials Database.

## Properties
- size of the total moment (μB per formula unit) = 0.0
- DFT total energy (eV per atom) = -4.663
- space-group type = Cmcm (63)

a = 7.6598 Å, b = 7.6598 Å, c = 10.7883 Å
α = 90.00°, β = 90.00°, γ = 146.89°
Atoms (fractional coordinates):
Te (0.8477, 0.1523, 0.4373)
Te (0.1523, 0.8477, 0.9373)
Nd (0.5000, 0.5000, 0.0000)
Au (0.9785, 0.0215, 0.2500)
S (0.4222, 0.5778, 0.7500)
Sr (0.2239, 0.7761, 0.2500)
Te (0.1523, 0.8477, 0.5627)
Au (0.0215, 0.9785, 0.7500)
Nd (0.5000, 0.5000, 0.5000)
Sr (0.7761, 0.2239, 0.7500)
S (0.5778, 0.4222, 0.2500)
Te (0.8477, 0.1523, 0.0627)